Rb2AcPaS4: optimized geometry, PBE-GGA.

Summary:
raw formation energy = -1.616 eV per atom
V = 244.4 Å³/f.u.
raw total energy = -5.622 eV/atom

Cell lengths 4.232, 7.434, 8.140 Å; angles 107.35, 90.00, 90.00 degrees
Atoms (fractional coordinates):
Rb 0.500 0.000 0.500
Rb 0.000 0.500 0.500
Ac 0.000 0.000 0.000
Pa 0.500 0.500 0.000
S 0.500 0.256 0.204
S 0.500 0.744 0.796
S 0.000 0.286 0.804
S 0.000 0.714 0.196